Here is a geometry-optimized NdTmPt structure from OQMD. Energies are from PBE.

Results
Total magnetization in μB/f.u.: 0.002
ΔE_f in meV per atom: -153.0
E in eV per atom: -5.251
Relative energy among the computed polymorphs in meV/atom: 0

a b c (Å): 4.7848 4.7848 4.7848
angles (deg): 60.00 60.00 60.00
Atoms (fractional coordinates):
Nd 0.0000 0.0000 0.0000
Tm 0.2500 0.2500 0.2500
Pt 0.5000 0.5000 0.5000

***

Here is a geometry-optimized NdUPt structure from OQMD. Energies are from PBE.

Results
Total magnetization in μB/f.u.: 3.880
ΔE_f in meV per atom: -123.9
E in eV per atom: -7.496
Relative energy among the computed polymorphs in meV/atom: 0

a b c (Å): 4.8731 4.8731 4.8731
angles (deg): 60.00 60.00 60.00
Atoms (fractional coordinates):
Nd 0.0000 0.0000 0.0000
U 0.5000 0.5000 0.5000
Pt 0.2500 0.2500 0.2500

***

Here is a geometry-optimized NdPtW structure from OQMD. Energies are from PBE.

Results
Total magnetization in μB/f.u.: 0.726
ΔE_f in meV per atom: 503.0
E in eV per atom: -7.423
Relative energy among the computed polymorphs in meV/atom: 0

a b c (Å): 4.6569 4.6569 4.6569
angles (deg): 60.00 60.00 60.00
Atoms (fractional coordinates):
Nd 0.0000 0.0000 0.0000
Pt 0.2500 0.2500 0.2500
W 0.5000 0.5000 0.5000

***

Here is a geometry-optimized Nd3YPt4 structure from OQMD. Energies are from PBE.

Results
Total magnetization in μB/f.u.: 0.000
ΔE_f in meV per atom: -1173.1
E in eV per atom: -6.795

a b c (Å): 5.6871 4.5962 7.2695
angles (deg): 90.00 90.50 90.00
Atoms (fractional coordinates):
Nd 0.0000 0.0000 0.0000
Nd 0.2209 0.0000 0.4960
Nd 0.7192 0.5000 0.6331
Y 0.4996 0.5000 0.1332
Pt 0.0145 0.5000 0.2692
Pt 0.2102 0.5000 0.7764
Pt 0.5116 0.0000 0.8690
Pt 0.7011 0.0000 0.3513

***

Here is a geometry-optimized NdYPt structure from OQMD. Energies are from PBE.

Results
Total magnetization in μB/f.u.: 0.003
ΔE_f in meV per atom: -99.0
E in eV per atom: -5.860
Relative energy among the computed polymorphs in meV/atom: 0

a b c (Å): 4.8068 4.8068 4.8068
angles (deg): 60.00 60.00 60.00
Atoms (fractional coordinates):
Nd 0.0000 0.0000 0.0000
Y 0.2500 0.2500 0.2500
Pt 0.5000 0.5000 0.5000

***

Here is a geometry-optimized Nd3ZnPt8 structure from OQMD. Energies are from PBE.

Results
Total magnetization in μB/f.u.: 0.002
ΔE_f in meV per atom: -921.3
E in eV per atom: -6.255

a b c (Å): 9.4653 9.4653 9.4653
angles (deg): 33.65 33.65 33.65
Atoms (fractional coordinates):
Nd 0.0000 0.0000 0.0000
Nd 0.1295 0.1295 0.1295
Nd 0.5180 0.5180 0.5180
Zn 0.6473 0.6473 0.6473
Pt 0.0702 0.0702 0.5658
Pt 0.0702 0.5658 0.0702
Pt 0.0696 0.5688 0.5688
Pt 0.3183 0.3183 0.3183
Pt 0.5658 0.0702 0.0702
Pt 0.5688 0.0696 0.5688
Pt 0.5688 0.5688 0.0696
Pt 0.8189 0.8189 0.8189